# 1
Computed, not measured: a relaxed CsRb2W crystal at the GGA-PBE level of DFT.

Unit cell a=8.9894 b=8.9894 c=8.9894 alpha=90.00 beta=90.00 gamma=90.00
Closest atoms and distances in Å follow each position.
Space group Fm-3m (No. 225)
Unique sites:
1 Cs 0.0000 0.0000 0.0000 x4  8 Rb 3.89
2 Rb 0.2500 0.2500 0.2500 x8  4 W 3.89, 4 Cs 3.89
3 W 0.0000 0.0000 0.5000 x4  8 Rb 3.89



# 2
Computed, not measured: a relaxed CsRb3Y crystal at the GGA-PBE level of DFT.

Summary:
E above lowest polymorph (eV/atom): 0.254

Unit cell a=7.5958 b=7.5958 c=7.5958 alpha=90.00 beta=90.00 gamma=90.00
Closest atoms and distances in Å follow each position.
Space group Pm-3m (No. 221)
Unique sites:
1 Cs 0.0000 0.0000 0.0000 x1  6 Rb 3.80
2 Rb 0.0000 0.0000 0.5000 x3  2 Cs 3.80
3 Y 0.5000 0.5000 0.5000 x1  12 Rb 5.37



# 3
Computed, not measured: a relaxed CsRbY2 crystal at the GGA-PBE level of DFT.

Unit cell a=9.1218 b=9.1218 c=9.1218 alpha=90.00 beta=90.00 gamma=90.00
Closest atoms and distances in Å follow each position.
Space group Fm-3m (No. 225)
Unique sites:
1 Cs 0.0000 0.0000 0.0000 x4  8 Y 3.95
2 Rb 0.0000 0.0000 0.5000 x4  8 Y 3.95
3 Y 0.2500 0.2500 0.2500 x8  4 Rb 3.95, 4 Cs 3.95



| no. | calculated formation energy (meV per atom) | size of the total moment (μB/cell) | energy (eV for the cell shown) |
| --- | --- | --- | --- |
| 1 | 1599.1 | 19.73 | -37.38 |
| 2 | 917.9 | 2.94 | -5.63 |
| 3 | 968.6 | 0.08 | -43.50 |